The following is a DFT calculation (GGA-PBE) of a relaxed structure of Sm2Mg2Co15.

abc: 6.3748 6.3748 6.3748
angles: 83.38 83.38 83.38
Last column: nearest neighbours and their distance in Å.
Fractional positions:
Sm  0.1480  0.1480  0.1480  15 Co 2.91-3.24, 1 Mg 3.02
Sm  0.8520  0.8520  0.8520  15 Co 2.91-3.24, 1 Mg 3.02
Mg  0.3947  0.3947  0.3947  12 Co 2.56-2.78, 1 Mg 2.58
Mg  0.6053  0.6053  0.6053  12 Co 2.56-2.78, 1 Mg 2.58
Co  0.0000  0.5000  0.5000  8 Co 2.40-2.47, 2 Mg 2.56
Co  0.1494  0.1494  0.6555  8 Co 2.45-2.57, 1 Mg 2.65
Co  0.1494  0.6555  0.1494  8 Co 2.45-2.57, 1 Mg 2.65
Co  0.2097  0.5000  0.7903  8 Co 2.40-2.57
Co  0.2097  0.7903  0.5000  8 Co 2.40-2.57
Co  0.3445  0.8506  0.8506  8 Co 2.45-2.57, 1 Mg 2.65
Co  0.5000  0.0000  0.5000  8 Co 2.40-2.47, 2 Mg 2.56
Co  0.5000  0.2097  0.7903  8 Co 2.40-2.57
Co  0.5000  0.5000  0.0000  8 Co 2.40-2.47, 2 Mg 2.56
Co  0.5000  0.7903  0.2097  8 Co 2.40-2.57
Co  0.6555  0.1494  0.1494  8 Co 2.45-2.57, 1 Mg 2.65
Co  0.7903  0.2097  0.5000  8 Co 2.40-2.57
Co  0.7903  0.5000  0.2097  8 Co 2.40-2.57
Co  0.8506  0.3445  0.8506  8 Co 2.45-2.57, 1 Mg 2.65
Co  0.8506  0.8506  0.3445  8 Co 2.45-2.57, 1 Mg 2.65

Values from the calculation:
The formation energy is -0.043 eV/atom. The value obtained for the magnetization is 20.2 μB per formula unit. Its electronic total energy is -6.32 eV per atom.



The following is a DFT calculation (GGA-PBE) of a relaxed structure of Sm8MgCo2.

abc: 7.4626 7.4626 6.4115
angles: 92.13 92.13 66.54
Last column: nearest neighbours and their distance in Å.
Fractional positions:
Sm  0.0635  0.6348  0.3194  2 Co 2.72-2.74
Sm  0.1151  0.1151  0.1934  1 Co 2.80
Sm  0.3652  0.9365  0.6806  2 Co 2.72-2.74
Sm  0.3671  0.3671  0.9174  1 Co 2.87
Sm  0.6329  0.6329  0.0826  1 Co 2.87
Sm  0.6348  0.0635  0.3194  2 Co 2.72-2.74
Sm  0.8849  0.8849  0.8066  1 Co 2.80
Sm  0.9365  0.3652  0.6806  2 Co 2.72-2.74
Mg  0.5000  0.5000  0.5000  2 Co 2.68
Co  0.2852  0.2852  0.4928  1 Mg 2.68, 6 Sm 2.72-2.87
Co  0.7148  0.7148  0.5072  1 Mg 2.68, 6 Sm 2.72-2.87

Values from the calculation:
The formation energy is 0.013 eV/atom. As for the distance to the lowest polymorph of the same formula: 0.000 eV per formula unit. The value obtained for the magnetization is 0.0 μB per formula unit. Its electronic total energy is -4.86 eV per atom.



The following is a DFT calculation (GGA-PBE) of a relaxed structure of Sm2MgCo.

abc: 5.1305 5.1305 5.1305
angles: 60.00 60.00 60.00
Last column: nearest neighbours and their distance in Å.
Fractional positions:
Sm  0.2500  0.2500  0.2500  4 Co 3.14, 4 Mg 3.14
Sm  0.7500  0.7500  0.7500  4 Co 3.14, 4 Mg 3.14
Mg  0.0000  0.0000  0.0000  8 Sm 3.14
Co  0.5000  0.5000  0.5000  8 Sm 3.14

Values from the calculation:
The formation energy is 0.050 eV/atom. As for the distance to the lowest polymorph of the same formula: 0.660 eV per formula unit. The value obtained for the magnetization is 0.5 μB per formula unit. Its electronic total energy is -4.48 eV per atom.



- electronic total energy of number 2 (Sm8MgCo2)?
  -4.86 eV per atom